*1*
The following is a DFT calculation (PBE-GGA) of AsO2F2 after structural relaxation.

Lattice parameters (Å, degrees): 3.6417 3.6417 3.8989 90.00 90.00 90.00
Fractional coordinates of all 5 atoms:
As 0.0000 0.0000 0.0000
O 0.0000 0.5000 0.0000
O 0.5000 0.0000 0.0000
F 0.0000 0.0000 0.5000
F 0.5000 0.5000 0.5000

---

*2*
The following is a DFT calculation (PBE-GGA) of AsO2F2 after structural relaxation.

Lattice parameters (Å, degrees): 3.8445 3.8445 3.6710 90.00 90.00 90.00
Fractional coordinates of all 5 atoms:
As 0.0000 0.0000 0.0000
O 0.5000 0.5000 0.0000
O 0.5000 0.5000 0.5000
F 0.0000 0.5000 0.5000
F 0.5000 0.0000 0.5000

---

Verdict on stability: *1* comes out on top.

---

*1*
The following is a DFT calculation (PBE-GGA) of AsO2F2 after structural relaxation.

Lattice parameters (Å, degrees): 3.5792 3.5792 4.2143 90.00 90.00 90.00
Fractional coordinates of all 5 atoms:
As 0.0000 0.0000 0.0000
O 0.0000 0.5000 0.5000
O 0.5000 0.0000 0.5000
F 0.5000 0.5000 0.0000
F 0.5000 0.5000 0.5000

---

*2*
The following is a DFT calculation (PBE-GGA) of AsO2F2 after structural relaxation.

Lattice parameters (Å, degrees): 4.0726 4.0726 3.7054 90.00 90.00 90.00
Fractional coordinates of all 5 atoms:
As 0.0000 0.0000 0.0000
O 0.0000 0.0000 0.5000
O 0.5000 0.5000 0.5000
F 0.0000 0.5000 0.0000
F 0.5000 0.0000 0.0000

---

Verdict on stability: *2* comes out on top.

---

*1*
The following is a DFT calculation (PBE-GGA) of AsP2OF after structural relaxation.

Lattice parameters (Å, degrees): 4.8484 4.8484 3.6169 90.00 90.00 90.00
Fractional coordinates of all 5 atoms:
As 0.0000 0.0000 0.0000
P 0.0000 0.5000 0.0000
P 0.5000 0.0000 0.0000
O 0.0000 0.0000 0.5000
F 0.5000 0.5000 0.5000

---

*2*
The following is a DFT calculation (PBE-GGA) of AsP2OF after structural relaxation.

Lattice parameters (Å, degrees): 4.7912 4.7912 3.8664 90.00 90.00 90.00
Fractional coordinates of all 5 atoms:
As 0.0000 0.0000 0.0000
P 0.0000 0.5000 0.0000
P 0.5000 0.0000 0.0000
O 0.5000 0.5000 0.5000
F 0.0000 0.0000 0.5000

---

Verdict on stability: *1* comes out on top.

---

*1*
The following is a DFT calculation (PBE-GGA) of AsPdOF2 after structural relaxation.

Lattice parameters (Å, degrees): 4.2323 4.2323 3.9282 90.00 90.00 90.00
Fractional coordinates of all 5 atoms:
As 0.0000 0.0000 0.0000
Pd 0.5000 0.5000 0.5000
O 0.0000 0.0000 0.5000
F 0.0000 0.5000 0.0000
F 0.5000 0.0000 0.0000

---

*2*
The following is a DFT calculation (PBE-GGA) of AsPdOF2 after structural relaxation.

Lattice parameters (Å, degrees): 4.1867 4.1867 4.0634 90.00 90.00 90.00
Fractional coordinates of all 5 atoms:
As 0.0000 0.0000 0.0000
Pd 0.5000 0.5000 0.5000
O 0.5000 0.5000 0.0000
F 0.0000 0.5000 0.5000
F 0.5000 0.0000 0.5000

---

Verdict on stability: *1* comes out on top.

---

*1*
The following is a DFT calculation (PBE-GGA) of AsPtOF2 after structural relaxation.

Lattice parameters (Å, degrees): 4.1706 4.1706 4.0547 90.00 90.00 90.00
Fractional coordinates of all 5 atoms:
As 0.0000 0.0000 0.0000
Pt 0.5000 0.5000 0.5000
O 0.0000 0.0000 0.5000
F 0.0000 0.5000 0.0000
F 0.5000 0.0000 0.0000

---

*2*
The following is a DFT calculation (PBE-GGA) of AsPtOF2 after structural relaxation.

Lattice parameters (Å, degrees): 4.4739 4.4739 3.8211 90.00 90.00 90.00
Fractional coordinates of all 5 atoms:
As 0.0000 0.0000 0.0000
Pt 0.5000 0.5000 0.5000
O 0.5000 0.5000 0.0000
F 0.0000 0.5000 0.5000
F 0.5000 0.0000 0.5000

---

Verdict on stability: *1* comes out on top.

---

*1*
The following is a DFT calculation (PBE-GGA) of RbAsOF2 after structural relaxation.

Lattice parameters (Å, degrees): 4.8589 4.8589 4.3832 90.00 90.00 90.00
Fractional coordinates of all 5 atoms:
Rb 0.0000 0.0000 0.0000
As 0.5000 0.5000 0.5000
O 0.0000 0.0000 0.5000
F 0.0000 0.5000 0.0000
F 0.5000 0.0000 0.0000

---

*2*
The following is a DFT calculation (PBE-GGA) of RbAsOF2 after structural relaxation.

Lattice parameters (Å, degrees): 4.5190 4.5190 3.9348 90.00 90.00 90.00
Fractional coordinates of all 5 atoms:
Rb 0.0000 0.0000 0.0000
As 0.5000 0.5000 0.5000
O 0.5000 0.5000 0.0000
F 0.0000 0.5000 0.5000
F 0.5000 0.0000 0.5000

---

Verdict on stability: *2* comes out on top.

---

*1*
The following is a DFT calculation (PBE-GGA) of AsRhOF2 after structural relaxation.

Lattice parameters (Å, degrees): 4.2149 4.2149 4.0478 90.00 90.00 90.00
Fractional coordinates of all 5 atoms:
As 0.0000 0.0000 0.0000
Rh 0.5000 0.5000 0.5000
O 0.0000 0.0000 0.5000
F 0.0000 0.5000 0.0000
F 0.5000 0.0000 0.0000

---

*2*
The following is a DFT calculation (PBE-GGA) of AsRhOF2 after structural relaxation.

Lattice parameters (Å, degrees): 4.3790 4.3790 3.7564 90.00 90.00 90.00
Fractional coordinates of all 5 atoms:
As 0.0000 0.0000 0.0000
Rh 0.5000 0.5000 0.5000
O 0.5000 0.5000 0.0000
F 0.0000 0.5000 0.5000
F 0.5000 0.0000 0.5000

---

Verdict on stability: *1* comes out on top.

---

*1*
The following is a DFT calculation (PBE-GGA) of AsSOF2 after structural relaxation.

Lattice parameters (Å, degrees): 4.3255 4.3255 3.8735 90.00 90.00 90.00
Fractional coordinates of all 5 atoms:
As 0.0000 0.0000 0.0000
S 0.5000 0.5000 0.5000
O 0.0000 0.0000 0.5000
F 0.0000 0.5000 0.0000
F 0.5000 0.0000 0.0000

---

*2*
The following is a DFT calculation (PBE-GGA) of AsSOF2 after structural relaxation.

Lattice parameters (Å, degrees): 4.7161 4.7161 3.3208 90.00 90.00 90.00
Fractional coordinates of all 5 atoms:
As 0.0000 0.0000 0.0000
S 0.5000 0.5000 0.5000
O 0.5000 0.5000 0.0000
F 0.0000 0.5000 0.5000
F 0.5000 0.0000 0.5000

---

Verdict on stability: *1* comes out on top.

---

*1*
The following is a DFT calculation (PBE-GGA) of SiAsOF2 after structural relaxation.

Lattice parameters (Å, degrees): 4.4111 4.4111 3.3102 90.00 90.00 90.00
Fractional coordinates of all 5 atoms:
Si 0.0000 0.0000 0.0000
As 0.5000 0.5000 0.5000
O 0.0000 0.0000 0.5000
F 0.0000 0.5000 0.0000
F 0.5000 0.0000 0.0000

---

*2*
The following is a DFT calculation (PBE-GGA) of SiAsOF2 after structural relaxation.

Lattice parameters (Å, degrees): 4.3223 4.3223 3.9980 90.00 90.00 90.00
Fractional coordinates of all 5 atoms:
Si 0.0000 0.0000 0.0000
As 0.5000 0.5000 0.5000
O 0.5000 0.5000 0.0000
F 0.0000 0.5000 0.5000
F 0.5000 0.0000 0.5000

---

Verdict on stability: *1* comes out on top.

---

*1*
The following is a DFT calculation (PBE-GGA) of SnAsOF2 after structural relaxation.

Lattice parameters (Å, degrees): 4.5071 4.5071 3.9697 90.00 90.00 90.00
Fractional coordinates of all 5 atoms:
Sn 0.0000 0.0000 0.0000
As 0.5000 0.5000 0.5000
O 0.5000 0.5000 0.0000
F 0.0000 0.5000 0.5000
F 0.5000 0.0000 0.5000

---

*2*
The following is a DFT calculation (PBE-GGA) of SnAsOF2 after structural relaxation.

Lattice parameters (Å, degrees): 4.4253 4.4253 4.1520 90.00 90.00 90.00
Fractional coordinates of all 5 atoms:
Sn 0.0000 0.0000 0.0000
As 0.5000 0.5000 0.5000
O 0.0000 0.0000 0.5000
F 0.0000 0.5000 0.0000
F 0.5000 0.0000 0.0000

---

Verdict on stability: *1* comes out on top.

---

*1*
The following is a DFT calculation (PBE-GGA) of SrAsOF2 after structural relaxation.

Lattice parameters (Å, degrees): 4.5509 4.5509 5.0430 90.00 90.00 90.00
Fractional coordinates of all 5 atoms:
Sr 0.0000 0.0000 0.0000
As 0.5000 0.5000 0.5000
O 0.0000 0.0000 0.5000
F 0.0000 0.5000 0.0000
F 0.5000 0.0000 0.0000

---

*2*
The following is a DFT calculation (PBE-GGA) of SrAsOF2 after structural relaxation.

Lattice parameters (Å, degrees): 4.5517 4.5517 4.0468 90.00 90.00 90.00
Fractional coordinates of all 5 atoms:
Sr 0.0000 0.0000 0.0000
As 0.5000 0.5000 0.5000
O 0.5000 0.5000 0.0000
F 0.0000 0.5000 0.5000
F 0.5000 0.0000 0.5000

---

Verdict on stability: *2* comes out on top.

---

*1*
The following is a DFT calculation (PBE-GGA) of TcAsOF2 after structural relaxation.

Lattice parameters (Å, degrees): 4.3954 4.3954 3.9200 90.00 90.00 90.00
Fractional coordinates of all 5 atoms:
Tc 0.0000 0.0000 0.0000
As 0.5000 0.5000 0.5000
O 0.5000 0.5000 0.0000
F 0.0000 0.5000 0.5000
F 0.5000 0.0000 0.5000

---

*2*
The following is a DFT calculation (PBE-GGA) of TcAsOF2 after structural relaxation.

Lattice parameters (Å, degrees): 4.3322 4.3322 3.7496 90.00 90.00 90.00
Fractional coordinates of all 5 atoms:
Tc 0.0000 0.0000 0.0000
As 0.5000 0.5000 0.5000
O 0.0000 0.0000 0.5000
F 0.0000 0.5000 0.0000
F 0.5000 0.0000 0.0000

---

Verdict on stability: *2* comes out on top.